[1]
# CdBiN2

A relaxed CdBiN2 crystal (GGA-PBE, Alexandria via LeMat-Bulk).

abc: 6.7855 6.7855 6.7855
angles: 31.02 31.02 31.02
With the nearest neighbours (Å) after each atom.
Atoms (fractional coordinates):
Bi: 0.5000 0.5000 0.5000  6 N 2.40
Cd: 0.0000 0.0000 0.0000  2 N 2.06
N: 0.8935 0.8935 0.8935  1 Cd 2.06
N: 0.1065 0.1065 0.1065  1 Cd 2.06

Calculated values
The calculation puts the density of states at the Fermi level at 0.510 states/eV/atom. The value obtained for the total magnetic moment is 0.00 μB/cell. As for the space-group type: R-3m (166).

---

[2]
# CdBiN2

A relaxed CdBiN2 crystal (GGA-PBE, Alexandria via LeMat-Bulk).

abc: 6.8350 6.8350 6.8350
angles: 30.17 30.17 30.17
With the nearest neighbours (Å) after each atom.
Atoms (fractional coordinates):
N: 0.8889 0.8889 0.8889  1 Bi 2.17, 3 Cd 2.32
N: 0.1111 0.1111 0.1111  1 Bi 2.17, 3 Cd 2.32
Cd: 0.5000 0.5000 0.5000  6 N 2.32
Bi: 0.0000 0.0000 0.0000  2 N 2.17

Calculated values
The calculation puts the density of states at the Fermi level at 0.741 states/eV/atom. The value obtained for the total magnetic moment is 0.00 μB/cell. As for the space-group type: R-3m (166).

---

[3]
# CdBi2N

A relaxed CdBi2N crystal (GGA-PBE, Alexandria via LeMat-Bulk).

abc: 3.4793 6.4342 13.0263
angles: 129.74 82.35 73.99
With the nearest neighbours (Å) after each atom.
Atoms (fractional coordinates):
Cd: 0.2221 0.1026 0.6506  2 Cd 3.02-3.03, 2 Bi 3.27-3.28
Cd: 0.8331 0.0833 0.4527  2 Cd 3.02-3.03, 2 Bi 3.27-3.28
N: 0.5972 0.8667 0.1331  4 Bi 2.29-2.33
N: 0.4582 0.3194 0.9703  4 Bi 2.29-2.33
Bi: 0.2320 0.3689 0.3573  1 N 2.29
Bi: 0.2667 0.6944 0.9692  3 N 2.33
Bi: 0.7887 0.4917 0.1342  3 N 2.33
Bi: 0.8235 0.8171 0.7460  1 N 2.29

Calculated values
The calculation puts the density of states at the Fermi level at 0.339 states/eV/atom. The value obtained for the total magnetic moment is 0.00 μB/cell. As for the space-group type: P-1 (2).

---

[4]
# CdBi2N

A relaxed CdBi2N crystal (GGA-PBE, Alexandria via LeMat-Bulk).

abc: 7.5287 7.5287 6.3680
angles: 53.76 53.76 90.00
With the nearest neighbours (Å) after each atom.
Atoms (fractional coordinates):
Bi: 0.5305 0.1250 0.2500  2 N 2.38
Bi: 0.2195 0.6250 0.2500  2 N 2.38
Bi: 0.8750 0.7805 0.7500  2 N 2.38
Bi: 0.3750 0.4695 0.7500  2 N 2.38
N: 0.2500 0.7500 0.5000  4 Bi 2.38
N: 0.5000 0.5000 0.0000  4 Bi 2.38
Cd: 0.7500 0.2500 0.5000  8 Bi 3.32-3.43, 2 N 3.49
Cd: 0.0000 0.0000 0.0000  8 Bi 3.32-3.43, 2 N 3.49

Calculated values
The calculation puts the density of states at the Fermi level at 0.564 states/eV/atom. The value obtained for the total magnetic moment is 0.00 μB/cell. As for the space-group type: I-42d (122).

---

Results for energy above the most stable polymorph in this dataset: 627, 1061, 0, 180 (in meV per atom, following the order of the records).
Results for E_form (uncorrected): 0.817, 1.251, 0.392, 0.572 (in eV/atom, following the order of the records).
Results for VASP energy: -4.545, -4.111, -3.859, -3.679 (in eV per atom, following the order of the records).